18
Lattice="3.999 0.000 0.000 -2.000 7.691 -2.525 0.000 0.007 9.816" Properties=species:S:1:pos:R:3 comment="ThSi2Rh3 | Alexandria | PBE | optimized geometry" total_magnetization_mub_per_cell=0.00 n_ef_per_ev_atom=0.5771 final_energy_ev_per_atom=-7.74 pbc="T T T"
Si 2.000 4.669 7.051
Rh 2.000 4.301 4.563
Rh 2.000 2.725 8.497
Si 2.000 2.118 3.672
Si 0.000 7.164 -0.099
Si 0.000 5.580 3.619
Rh 2.000 7.011 4.266
Rh 2.000 1.885 1.323
Th 0.000 2.447 6.039
Rh 0.000 0.686 3.025
Th 0.000 0.000 0.000
Rh 0.000 3.396 2.728
Si 0.000 3.029 0.241
Rh 2.000 0.003 4.908
Rh 0.000 4.972 -1.206
Rh 0.000 5.813 5.968
Th 2.000 5.251 1.253
Si 2.000 0.534 7.391